Entry 1:
ZrFe2Pt | GGA-PBE | optimized geometry

Cell: 9.7587 9.7587 9.7587 Å, 157.68 157.68 31.77°
Closest atoms and distances in Å follow each position.
Fractional coordinates of all 8 atoms:
Zr (0.0000, 0.0000, 0.0000)  4 Pt 2.67, 4 Fe 2.73
Zr (0.7500, 0.2500, 0.5000)  4 Pt 2.67, 4 Fe 2.73
Fe (0.1491, 0.6250, 0.0241)  4 Fe 2.55-2.80, 2 Pt 2.67, 2 Zr 2.73
Fe (0.3750, 0.3991, 0.5241)  4 Fe 2.55-2.80, 2 Pt 2.67, 2 Zr 2.73
Fe (0.6009, 0.1250, 0.9759)  4 Fe 2.55-2.80, 2 Pt 2.67, 2 Zr 2.73
Fe (0.8750, 0.8509, 0.4759)  4 Fe 2.55-2.80, 2 Pt 2.67, 2 Zr 2.73
Pt (0.2500, 0.7500, 0.5000)  4 Fe 2.67, 4 Zr 2.67
Pt (0.5000, 0.5000, 0.0000)  4 Fe 2.67, 4 Zr 2.67

Values from the calculation:
M_tot: 4.761 μB per formula unit
Formation energy from the elements: 57 meV per atom
Crystal system: tetragonal

=====

Entry 2:
AcCePmEu | GGA-PBE | optimized geometry

Cell: 6.0115 6.0115 6.0115 Å, 60.00 60.00 60.00°
Closest atoms and distances in Å follow each position.
Fractional coordinates of all 4 atoms:
Ac (0.0000, 0.0000, 0.0000)  4 Ce 3.68, 4 Eu 3.68
Ce (0.7500, 0.7500, 0.7500)  4 Ac 3.68, 4 Pm 3.68
Pm (0.5000, 0.5000, 0.5000)  4 Ce 3.68, 4 Eu 3.68
Eu (0.2500, 0.2500, 0.2500)  4 Ac 3.68, 4 Pm 3.68

Values from the calculation:
M_tot: 4.897 μB per formula unit
Formation energy from the elements: 259 meV per atom
Crystal system: cubic

=====

The lowest formation energy from the elements belongs to which entry?
ZrFe2Pt